! Er2Ga5Ir3, relaxed, DFT PBE; values from VASP
&SYSTEM
  ibrav = 0, nat = 20, ntyp = 3
/
ATOMIC_SPECIES
Er 167.26 Er.upf
Ga 69.72 Ga.upf
Ir 192.22 Ir.upf
CELL_PARAMETERS angstrom
2.139 -12.224 0.000
2.139 12.224 0.000
0.000 0.000 6.838
ATOMIC_POSITIONS angstrom
Er 2.139 11.705 3.419
Er 2.139 4.320 3.896
Er 2.139 -4.320 0.477
Er 2.139 -11.705 0.000
Ga 2.139 9.751 5.926
Ga 2.139 7.194 2.615
Ga 2.139 7.102 5.349
Ga 2.139 3.052 0.096
Ga 2.139 1.274 4.590
Ga 2.139 -1.274 1.171
Ga 2.139 -3.052 3.516
Ga 2.139 -7.102 1.930
Ga 2.139 -7.194 6.034
Ga 2.139 -9.751 2.507
Ir 2.139 9.566 1.685
Ir 2.139 5.570 0.586
Ir 2.139 1.205 1.947
Ir 2.139 -1.205 5.366
Ir 2.139 -5.570 4.005
Ir 2.139 -9.566 5.105
! symmetry	Cmc2_1
! E_form	-0.6996	eV/atom